## Sr2CaTl2 (GGA-PBE)

Data for a geometry-optimized Sr2CaTl2 structure.

Cell: 4.866 6.800 6.800 Å, 67.52 69.03 69.03°
Sites, in units of the cell vectors:
Sr 0.200 0.300 0.300
Sr 0.800 0.700 0.700
Ca 0.000 0.000 0.000
Tl 0.500 0.287 0.713
Tl 0.500 0.713 0.287

## Properties
The energy above the most stable polymorph in this dataset comes out at 0.0217 eV per atom. For the formation enthalpy at 0 K, the calculation gives -31.7 kJ/mol of atoms.